Compound: RbHfNb2
Source: Alexandria via LeMat-Bulk
Functional: PBE
Structure: optimized geometry

Computed properties:
ΔE_f = 1.56 eV per atom
Energy relative to the lowest polymorph listed for this composition = 0 meV/atom

a b c (Å): 7.1384 7.1384 7.1384
angles (deg): 90.00 90.00 90.00
Atoms (fractional coordinates):
1 Rb 0.0000 0.0000 0.0000
2 Rb 0.0000 0.5000 0.5000
3 Rb 0.5000 0.0000 0.5000
4 Rb 0.5000 0.5000 0.0000
5 Hf 0.0000 0.0000 0.5000
6 Hf 0.0000 0.5000 0.0000
7 Hf 0.5000 0.0000 0.0000
8 Hf 0.5000 0.5000 0.5000
9 Nb 0.2500 0.2500 0.2500
10 Nb 0.2500 0.2500 0.7500
11 Nb 0.2500 0.7500 0.2500
12 Nb 0.2500 0.7500 0.7500
13 Nb 0.7500 0.2500 0.2500
14 Nb 0.7500 0.2500 0.7500
15 Nb 0.7500 0.7500 0.2500
16 Nb 0.7500 0.7500 0.7500



Compound: Cs2Zr4S7
Source: Alexandria via LeMat-Bulk
Functional: PBE
Structure: optimized geometry

Computed properties:
Formation energy without anion corrections = -1338 meV per atom

a b c (Å): 6.6213 6.6213 8.9712
angles (deg): 90.00 90.00 120.00
Atoms (fractional coordinates):
1 Cs 0.3333 0.6667 0.0000
2 Cs 0.6667 0.3333 0.0000
3 Zr 0.0000 0.0000 0.2766
4 Zr 0.0000 0.0000 0.7234
5 Zr 0.3333 0.6667 0.5000
6 Zr 0.6667 0.3333 0.5000
7 S 0.0000 0.0000 0.0000
8 S 0.0000 0.3658 0.3238
9 S 0.0000 0.6342 0.6762
10 S 0.3658 0.0000 0.3238
11 S 0.3658 0.3658 0.6762
12 S 0.6342 0.0000 0.6762
13 S 0.6342 0.6342 0.3238



Compound: ErTh2Mn
Source: Alexandria via LeMat-Bulk
Functional: PBE
Structure: optimized geometry

Computed properties:
ΔE_f = 0.22 eV per atom
Energy relative to the lowest polymorph listed for this composition = 64 meV/atom

a b c (Å): 3.7626 3.7626 26.9795
angles (deg): 90.00 90.00 120.00
Atoms (fractional coordinates):
1 Er 0.0000 0.0000 0.0000
2 Er 0.3333 0.6667 0.6667
3 Er 0.6667 0.3333 0.3333
4 Th 0.0000 0.0000 0.2258
5 Th 0.0000 0.0000 0.7742
6 Th 0.3333 0.6667 0.4409
7 Th 0.3333 0.6667 0.8924
8 Th 0.6667 0.3333 0.1076
9 Th 0.6667 0.3333 0.5591
10 Mn 0.0000 0.0000 0.5000
11 Mn 0.3333 0.6667 0.1667
12 Mn 0.6667 0.3333 0.8333